[1]
First-principles (PBE) data for crystalline RuSe2O2 at its relaxed geometry, as listed in the Alexandria database.

a b c (Å): 4.5211 4.5211 4.6675
angles (deg): 61.03 61.03 90.00
Fractional coordinates of all 5 atoms:
Ru (0.0000, 0.0000, 0.0000)
O (0.4051, 0.4051, 0.1897)
O (0.5949, 0.5949, 0.8103)
Se (0.7500, 0.2500, 0.5000)
Se (0.2500, 0.7500, 0.5000)

Properties
The total magnetization is 0.00 μB per atom. Its calculated total energy is -4.658 eV per atom. For the energy above the most stable polymorph in this dataset, the calculation gives 809 meV/atom. The uncorrected formation energy is 2.87 eV per formula unit. As for the space group: I4/mmm (139).

[2]
First-principles (PBE) data for crystalline RuSe2O2 at its relaxed geometry, as listed in the Alexandria database.

a b c (Å): 5.2504 5.2504 7.6404
angles (deg): 90.00 90.00 90.00
Fractional coordinates of all 10 atoms:
Ru (0.0000, 0.0000, 0.0000)
Ru (0.5000, 0.5000, 0.0000)
O (0.2504, 0.7504, 0.0000)
O (0.7504, 0.7496, 0.0000)
O (0.7496, 0.2496, 0.0000)
O (0.2496, 0.2504, 0.0000)
Se (0.2500, 0.7500, 0.5000)
Se (0.7500, 0.7500, 0.5000)
Se (0.7500, 0.2500, 0.5000)
Se (0.2500, 0.2500, 0.5000)

Properties
The total magnetization is 0.00 μB per atom. Its calculated total energy is -5.468 eV per atom. For the energy above the most stable polymorph in this dataset, the calculation gives 0 meV/atom. The uncorrected formation energy is -1.18 eV per formula unit. As for the space group: P4/mmm (123).

[3]
First-principles (PBE) data for crystalline SrRuSe2O8 at its relaxed geometry, as listed in the Alexandria database.

a b c (Å): 5.3002 5.3002 7.2874
angles (deg): 68.68 68.68 60.00
Each line ends with the local moment (μB).
Fractional coordinates of all 12 atoms:
Sr (0.5000, 0.5000, 0.5000)  0.00
Ru (0.0000, 0.0000, 0.0000)  0.54
Se (0.2738, 0.2738, 0.1785)  0.00
Se (0.7262, 0.7262, 0.8215)  0.00
O (0.1896, 0.1896, 0.4311)  0.01
O (0.6510, 0.2596, 0.1661)  0.03
O (0.8104, 0.8104, 0.5689)  0.01
O (0.9233, 0.6510, 0.1661)  0.03
O (0.0767, 0.3490, 0.8339)  0.03
O (0.2596, 0.9233, 0.1661)  0.03
O (0.7404, 0.0767, 0.8339)  0.03
O (0.3490, 0.7404, 0.8339)  0.03

Properties
The total magnetization is 0.06 μB per atom. Its calculated total energy is -5.846 eV per atom. The uncorrected formation energy is -12.56 eV per formula unit. As for the space group: R-3 (148).

[4]
First-principles (PBE) data for crystalline TcRuSeO2 at its relaxed geometry, as listed in the Alexandria database.

a b c (Å): 3.7254 5.7449 3.7254
angles (deg): 90.00 90.00 90.00
Each line ends with the local moment (μB).
Fractional coordinates of all 5 atoms:
O (0.0000, 0.0000, 0.5000)  0.03
O (0.5000, 0.0000, 0.0000)  0.03
Ru (0.5000, 0.5000, 0.5000)  1.85
Tc (0.0000, 0.0000, 0.0000)  0.02
Se (0.0000, 0.5000, 0.0000)  0.03

Properties
The total magnetization is 0.43 μB per atom. Its calculated total energy is -6.860 eV per atom. The uncorrected formation energy is -1.26 eV per formula unit. As for the space group: P4/mmm (123).

[5]
First-principles (PBE) data for crystalline SiRuO3 at its relaxed geometry, as listed in the Alexandria database.

a b c (Å): 3.5801 3.5801 3.5801
angles (deg): 90.00 90.00 90.00
Each line ends with the local moment (μB).
Fractional coordinates of all 5 atoms:
Ru (0.5000, 0.5000, 0.5000)  3.25
Si (0.0000, 0.0000, 0.0000)  -0.01
O (0.0000, 0.5000, 0.0000)  0.24
O (0.0000, 0.0000, 0.5000)  0.17
O (0.5000, 0.0000, 0.0000)  0.16

Properties
The total magnetization is 0.80 μB per atom. Its calculated total energy is -6.907 eV per atom. The uncorrected formation energy is -4.96 eV per formula unit. As for the space group: Pm-3m (221).

[6]
First-principles (PBE) data for crystalline SiRuO3 at its relaxed geometry, as listed in the Alexandria database.

a b c (Å): 3.8728 3.8728 3.8728
angles (deg): 90.00 90.00 90.00
Each line ends with the local moment (μB).
Fractional coordinates of all 5 atoms:
Ru (0.0000, 0.0000, 0.0000)  1.03
Si (0.5000, 0.5000, 0.5000)  0.04
O (0.0000, 0.5000, 0.0000)  0.06
O (0.0000, 0.0000, 0.5000)  0.01
O (0.5000, 0.0000, 0.0000)  0.23

Properties
The total magnetization is 0.31 μB per atom. Its calculated total energy is -6.257 eV per atom. The uncorrected formation energy is -1.71 eV per formula unit. As for the space group: Pm-3m (221).